No. 1
# TbHoTeO6

A geometry-optimized TbHoTeO6 structure (PBE, Alexandria).

POSCAR file:
```
TbHoTeO6
1.0
5.541 0.000 0.000
-2.771 4.799 0.000
0.000 0.000 9.517
Ho O Tb Te
2 12 2 2
direct
0.667 0.333 0.750
0.333 0.667 0.250
0.670 0.042 0.365
0.958 0.330 0.135
0.372 0.042 0.135
0.042 0.670 0.865
0.958 0.628 0.365
0.628 0.670 0.635
0.042 0.372 0.635
0.670 0.628 0.135
0.372 0.330 0.365
0.628 0.958 0.865
0.330 0.372 0.865
0.330 0.958 0.635
0.000 0.000 0.500
0.000 0.000 0.000
0.667 0.333 0.250
0.333 0.667 0.750
```

Formation energy without anion corrections ... -2466.1 meV/atom
Mass density ... 7.18 g/cm³
DOS at the Fermi energy ... 0.000 states/eV/f.u.

---

No. 2
# InP2Au

A geometry-optimized InP2Au structure (PBE, Alexandria).

POSCAR file:
```
InP2Au
1.0
-2.056 2.279 -3.864
-4.275 -2.428 -0.421
1.813 2.122 4.070
P Au In
2 1 1
direct
0.250 0.750 0.500
0.000 0.000 0.000
0.500 0.500 0.000
0.750 0.250 0.500
```

Calculated formation energy ... 508.3 meV/atom
Mass density ... 8.34 g/cm³
DOS at the Fermi energy ... 2.034 states/eV/f.u.

---

No. 3
# FeP2Ir

A geometry-optimized FeP2Ir structure (PBE, Alexandria).

POSCAR file:
```
FeP2Ir
1.0
7.365 0.000 0.000
6.823 2.773 0.000
6.823 1.334 2.431
P Ir Fe
2 1 1
direct
0.507 0.507 0.507
0.993 0.993 0.993
0.750 0.750 0.750
0.250 0.250 0.250
```

Excess energy over the best structure of this formula in the dataset ... 213 meV per atom
Calculated formation energy ... -158.2 meV/atom
Mass density ... 10.37 g/cm³
DOS at the Fermi energy ... 2.283 states/eV/f.u.

---

No. 4
# Pm4Pr2N

A geometry-optimized Pm4Pr2N structure (PBE, Alexandria).

POSCAR file:
```
Pm4Pr2N
1.0
-3.226 -1.347 -1.047
-1.852 -2.232 2.216
-10.180 13.298 7.892
Pr N Pm
2 1 4
direct
0.753 0.753 0.740
0.247 0.247 0.260
0.000 0.000 0.000
0.139 0.139 0.583
0.642 0.642 0.075
0.861 0.861 0.417
0.358 0.358 0.925
```

Formation energy without anion corrections ... -385.5 meV/atom
Excess energy over the best structure of this formula in the dataset ... 0 meV per atom
Mass density ... 6.85 g/cm³
DOS at the Fermi energy ... 6.247 states/eV/f.u.

---

No. 5
# PaIr2

A geometry-optimized PaIr2 structure (PBE, Alexandria).

POSCAR file:
```
PaIr2
1.0
3.690 0.274 0.036
0.274 3.690 0.036
-1.950 -1.950 4.452
Ir Pa
2 1
direct
0.072 0.072 0.297
0.928 0.928 0.703
0.500 0.500 0.000
```

Excess energy over the best structure of this formula in the dataset ... 243 meV per atom
Calculated formation energy ... -545.7 meV/atom
Mass density ... 16.82 g/cm³
DOS at the Fermi energy ... 2.008 states/eV/f.u.

---

No. 6
# TbNiSn2

A geometry-optimized TbNiSn2 structure (PBE, Alexandria).

POSCAR file:
```
TbNiSn2
1.0
4.465 0.000 0.000
0.000 14.711 0.000
0.000 0.000 16.151
Ni Tb Sn
12 12 24
direct
0.250 0.456 0.299
0.750 0.956 0.201
0.750 0.252 0.697
0.750 0.104 0.449
0.250 0.748 0.303
0.750 0.396 0.949
0.250 0.604 0.051
0.250 0.752 0.803
0.250 0.044 0.799
0.250 0.896 0.551
0.750 0.544 0.701
0.750 0.248 0.197
0.750 0.894 0.854
0.250 0.270 0.874
0.750 0.606 0.354
0.750 0.028 0.650
0.250 0.230 0.374
0.750 0.730 0.126
0.250 0.528 0.850
0.750 0.472 0.150
0.750 0.770 0.626
0.250 0.106 0.146
0.250 0.972 0.350
0.250 0.394 0.646
0.250 0.605 0.213
0.750 0.951 0.044
0.250 0.628 0.673
0.750 0.259 0.534
0.750 0.676 0.814
0.250 0.872 0.173
0.250 0.324 0.186
0.250 0.176 0.686
0.750 0.241 0.034
0.750 0.824 0.314
0.750 0.395 0.787
0.750 0.128 0.827
0.250 0.895 0.713
0.250 0.451 0.456
0.250 0.049 0.956
0.750 0.579 0.979
0.750 0.372 0.327
0.750 0.105 0.287
0.250 0.759 0.966
0.750 0.549 0.544
0.750 0.921 0.479
0.250 0.421 0.021
0.250 0.741 0.466
0.250 0.079 0.521
```

Calculated formation energy ... -583.0 meV/atom
Mass density ... 8.55 g/cm³
DOS at the Fermi energy ... 1.886 states/eV/f.u.

---

No. 7
# Li12Ge2Pb5

A geometry-optimized Li12Ge2Pb5 structure (PBE, Alexandria).

POSCAR file:
```
Li12Ge2Pb5
1.0
8.883 0.000 0.000
-4.442 5.906 1.185
0.000 -0.823 7.102
Li Pb Ge
12 5 2
direct
0.632 0.767 0.345
0.864 0.233 0.655
0.905 0.810 0.106
0.489 0.977 0.719
0.511 0.023 0.281
0.063 0.717 0.749
0.368 0.233 0.655
0.346 0.283 0.251
0.136 0.767 0.345
0.095 0.190 0.894
0.937 0.283 0.251
0.654 0.717 0.749
0.729 0.458 0.445
0.000 0.000 0.500
0.316 0.633 0.035
0.684 0.367 0.965
0.271 0.542 0.555
0.279 0.000 0.000
0.721 0.000 0.000
```

Calculated formation energy ... -248.1 meV/atom
Mass density ... 5.51 g/cm³
DOS at the Fermi energy ... 6.374 states/eV/f.u.

---

No. 8
# Pm2BiOs

A geometry-optimized Pm2BiOs structure (PBE, Alexandria).

POSCAR file:
```
Pm2BiOs
1.0
-3.558 -0.593 1.715
-0.209 -1.160 3.816
-1.450 8.818 4.692
Pm Bi Os
2 1 1
direct
0.887 0.887 0.339
0.113 0.113 0.661
0.000 0.000 0.000
0.500 0.500 0.500
```

Excess energy over the best structure of this formula in the dataset ... 477 meV per atom
Calculated formation energy ... 110.0 meV/atom
Mass density ... 8.43 g/cm³
DOS at the Fermi energy ... 2.891 states/eV/f.u.